1) Material: La2Se2Cl
Method: DFT, PBE
State: relaxed

Structure (CIF):
```
data_La2Se2Cl
_chemical_formula_sum 'La4 Se4 Cl2'
_cell_length_a 8.1587
_cell_length_b 8.1587
_cell_length_c 4.0074
_cell_angle_alpha 90.00
_cell_angle_beta 90.00
_cell_angle_gamma 90.00
_symmetry_space_group_name_H-M 'P 4/m b m'
_symmetry_Int_Tables_number 127
_symmetry_space_group_name_Hall '-P 4 2ab'
loop_
_atom_site_label
_atom_site_type_symbol
_atom_site_fract_x
_atom_site_fract_y
_atom_site_fract_z
_atom_site_occupancy
La1 La 0.1589 0.3411 0.0000 1
Se1 Se 0.1422 0.6422 0.5000 1
Cl1 Cl 0.0000 0.0000 0.0000 1
```

Calculated values
V, Å³/atom: 26.68

2) Material: La2Se2Cl
Method: DFT, PBE
State: relaxed

Structure (CIF):
```
data_La2Se2Cl
_chemical_formula_sum 'La8 Se8 Cl4'
_cell_length_a 4.1566
_cell_length_b 17.7450
_cell_length_c 7.6360
_cell_angle_alpha 90.00
_cell_angle_beta 90.00
_cell_angle_gamma 90.00
_symmetry_space_group_name_H-M 'C m c 21'
_symmetry_Int_Tables_number 36
loop_
_symmetry_equiv_pos_as_xyz
'x,y,z'
'-x,-y,z+1/2'
'-x,y,z'
'x,-y,z+1/2'
'x+1/2,y+1/2,z'
'-x+1/2,-y+1/2,z+1/2'
'-x+1/2,y+1/2,z'
'x+1/2,-y+1/2,z+1/2'
loop_
_atom_site_label
_atom_site_type_symbol
_atom_site_fract_x
_atom_site_fract_y
_atom_site_fract_z
_atom_site_occupancy
La1 La 0.0000 0.0587 0.0000 1
La2 La 0.0000 0.3100 0.0988 1
Se1 Se 0.0000 0.3097 0.5078 1
Se2 Se 0.0000 0.4715 0.2160 1
Cl1 Cl 0.0000 0.1161 0.3843 1
```

Calculated values
V, Å³/atom: 28.16

1) takes first place; second place is 49 meV per atom up.

1) Material: LaSiCl2
Method: DFT, PBE
State: relaxed

Structure (CIF):
```
data_LaSiCl2
_chemical_formula_sum 'La2 Si2 Cl4'
_cell_length_a 3.5026
_cell_length_b 6.2094
_cell_length_c 9.6444
_cell_angle_alpha 90.00
_cell_angle_beta 90.00
_cell_angle_gamma 90.00
_symmetry_space_group_name_H-M 'C m m m'
_symmetry_Int_Tables_number 65
_symmetry_space_group_name_Hall '-C 2 2'
loop_
_atom_site_label
_atom_site_type_symbol
_atom_site_fract_x
_atom_site_fract_y
_atom_site_fract_z
_atom_site_occupancy
La1 La 0.0000 0.0000 0.0000 1
Si1 Si 0.0000 0.0000 0.5000 1
Cl1 Cl 0.0000 0.5000 0.2358 1
```

Calculated values
V, Å³/atom: 26.22

2) Material: LaSiCl2
Method: DFT, PBE
State: relaxed

Structure (CIF):
```
data_LaSiCl2
_chemical_formula_sum 'La2 Si2 Cl4'
_cell_length_a 4.5827
_cell_length_b 6.0100
_cell_length_c 8.3616
_cell_angle_alpha 90.00
_cell_angle_beta 90.00
_cell_angle_gamma 90.00
_symmetry_space_group_name_H-M 'C m m 2'
_symmetry_Int_Tables_number 35
loop_
_symmetry_equiv_pos_as_xyz
'x,y,z'
'-x,-y,z'
'-x,y,z'
'x,-y,z'
'x+1/2,y+1/2,z'
'-x+1/2,-y+1/2,z'
'-x+1/2,y+1/2,z'
'x+1/2,-y+1/2,z'
loop_
_atom_site_label
_atom_site_type_symbol
_atom_site_fract_x
_atom_site_fract_y
_atom_site_fract_z
_atom_site_occupancy
La1 La 0.0000 0.0000 0.0000 1
Si1 Si 0.0000 0.5000 0.2311 1
Cl1 Cl 0.0000 0.0000 0.3539 1
Cl2 Cl 0.0000 0.5000 0.7897 1
```

Calculated values
V, Å³/atom: 28.79

2) takes first place; second place is 226 meV per atom up.